No. 1
Here is a relaxed BaBe4Br crystal from Alexandria via LeMat-Bulk. Energies are from GGA-PBEsol.

```
BaBe4Br
1.0
-5.150 0.304 -1.681
-1.211 -0.907 -5.211
-2.661 -4.510 -1.422
Be Ba Br
4 1 1
Cartesian
-3.579 -2.028 -3.298
-4.679 -3.893 -3.885
-5.708 -1.902 -3.993
-4.079 -2.403 -5.452
0.000 0.000 0.000
-6.767 -3.835 -6.235
```

Its total energy is -2.6270 eV/atom.

No. 2
Here is a relaxed Ba2ZrMo crystal from Alexandria via LeMat-Bulk. Energies are from GGA-PBEsol.

```
Ba2ZrMo
1.0
3.552 0.000 0.000
0.000 6.041 0.000
-1.776 -3.020 5.836
Ba Mo Zr
2 1 1
Cartesian
1.776 3.020 5.654
1.776 0.000 3.355
1.776 3.020 0.463
0.000 3.020 2.199
```

Its total energy is -5.5582 eV/atom. The formation energy from the elements comes out at 2.9 eV/f.u.